The following is a DFT calculation (GGA+U) of a relaxed K2Mg2Mo3O12 crystal.

Properties
Energy above the most stable polymorph in this dataset ... 0 meV per atom
Symmetry ... No. 14

Structure (POSCAR):
```
K2Mg2Mo3O12
1.0
-7.016 -4.622 3.836
1.432 -5.590 -4.115
13.473 -12.317 9.804
O K Mg Mo
48 8 8 12
direct
0.711 0.983 0.148 O
0.158 0.553 0.645 O
0.244 0.368 0.045 O
0.398 0.825 0.634 O
0.658 0.447 0.855 O
0.817 0.218 0.228 O
0.256 0.368 0.545 O
0.744 0.632 0.455 O
0.439 0.192 0.964 O
0.289 0.017 0.852 O
0.898 0.175 0.866 O
0.609 0.004 0.887 O
0.211 0.017 0.352 O
0.300 0.455 0.406 O
0.749 0.160 0.489 O
0.454 0.642 0.938 O
0.891 0.004 0.387 O
0.109 0.996 0.613 O
0.700 0.545 0.594 O
0.561 0.808 0.036 O
0.789 0.983 0.648 O
0.005 0.821 0.284 O
0.061 0.192 0.464 O
0.187 0.166 0.200 O
0.813 0.834 0.800 O
0.687 0.834 0.300 O
0.249 0.840 0.011 O
0.842 0.447 0.355 O
0.954 0.358 0.562 O
0.602 0.175 0.366 O
0.546 0.358 0.062 O
0.800 0.545 0.094 O
0.317 0.782 0.272 O
0.495 0.821 0.784 O
0.995 0.179 0.716 O
0.342 0.553 0.145 O
0.756 0.632 0.955 O
0.102 0.825 0.134 O
0.391 0.996 0.113 O
0.183 0.782 0.772 O
0.505 0.179 0.216 O
0.251 0.840 0.511 O
0.683 0.218 0.728 O
0.313 0.166 0.700 O
0.939 0.808 0.536 O
0.046 0.642 0.438 O
0.751 0.160 0.989 O
0.200 0.455 0.906 O
0.617 0.601 0.711 K
0.883 0.601 0.211 K
0.528 0.200 0.598 K
0.117 0.399 0.789 K
0.028 0.800 0.902 K
0.472 0.800 0.402 K
0.972 0.200 0.098 K
0.383 0.399 0.289 K
0.087 0.933 0.440 Mg
0.139 0.271 0.636 Mg
0.639 0.729 0.864 Mg
0.913 0.067 0.560 Mg
0.413 0.933 0.940 Mg
0.861 0.729 0.364 Mg
0.587 0.067 0.060 Mg
0.361 0.271 0.136 Mg
0.178 0.948 0.276 Mo
0.840 0.587 0.534 Mo
0.226 0.800 0.601 Mo
0.774 0.200 0.399 Mo
0.340 0.413 0.966 Mo
0.274 0.800 0.101 Mo
0.660 0.587 0.034 Mo
0.726 0.200 0.899 Mo
0.322 0.948 0.776 Mo
0.160 0.413 0.466 Mo
0.822 0.052 0.724 Mo
0.678 0.052 0.224 Mo
```